Below is crystalline LuH3 at its relaxed geometry, with properties calculated at the PBE-GGA level.

abc: 6.0707 6.0707 6.3182
angles: 90.00 90.00 120.00
With the nearest neighbours (Å) after each atom.
Element x y z (fractional)
1 Lu 0.0000 0.3372 0.2500  9 H 2.05-2.23
2 Lu 0.0000 0.6628 0.7500  9 H 2.05-2.23
3 Lu 0.3372 0.0000 0.2500  9 H 2.05-2.23
4 Lu 0.3372 0.3372 0.7500  9 H 2.05-2.23
5 Lu 0.6628 0.0000 0.7500  9 H 2.05-2.23
6 Lu 0.6628 0.6628 0.2500  9 H 2.05-2.23
7 H 0.0000 0.0000 0.2500  3 Lu 2.05, 6 H 2.28
8 H 0.0000 0.0000 0.7500  3 Lu 2.05, 6 H 2.28
9 H 0.0299 0.3516 0.9088  2 H 2.03-2.23, 3 Lu 2.16-2.23
10 H 0.0299 0.6783 0.4088  2 H 2.03-2.23, 3 Lu 2.16-2.23
11 H 0.3217 0.3516 0.4088  2 H 2.03-2.23, 3 Lu 2.16-2.23
12 H 0.3217 0.9701 0.9088  2 H 2.03-2.23, 3 Lu 2.16-2.23
13 H 0.3333 0.6667 0.1816  3 Lu 2.06, 3 H 2.23
14 H 0.3333 0.6667 0.6816  3 Lu 2.06, 3 H 2.23
15 H 0.3516 0.0299 0.5912  2 H 2.03-2.23, 3 Lu 2.16-2.23
16 H 0.3516 0.3217 0.0912  2 H 2.03-2.23, 3 Lu 2.16-2.23
17 H 0.6484 0.6783 0.9088  2 H 2.03-2.23, 3 Lu 2.16-2.23
18 H 0.6484 0.9701 0.4088  2 H 2.03-2.23, 3 Lu 2.16-2.23
19 H 0.6667 0.3333 0.3184  3 Lu 2.06, 3 H 2.23
20 H 0.6667 0.3333 0.8184  3 Lu 2.06, 3 H 2.23
21 H 0.6783 0.0299 0.0912  2 H 2.03-2.23, 3 Lu 2.16-2.23
22 H 0.6783 0.6484 0.5912  2 H 2.03-2.23, 3 Lu 2.16-2.23
23 H 0.9701 0.3217 0.5912  2 H 2.03-2.23, 3 Lu 2.16-2.23
24 H 0.9701 0.6484 0.0912  2 H 2.03-2.23, 3 Lu 2.16-2.23

Calculated values
Density ... 8.8 g/cm3
Magnetization ... 0.0 Bohr magnetons per cell
Raw total energy ... -4.2653 eV per atom

=====

Below is crystalline TmZr3Hg2C2 at its relaxed geometry, with properties calculated at the PBE-GGA level.

abc: 3.3890 3.3890 15.1156
angles: 90.00 90.00 120.00
With the nearest neighbours (Å) after each atom.
Element x y z (fractional)
1 Tm 0.0000 0.0000 0.0000  3 C 2.44
2 Zr 0.0000 0.0000 0.6681  3 C 2.32
3 Zr 0.6667 0.3333 0.1747  3 C 2.29
4 Zr 0.6667 0.3333 0.5034  3 C 2.32
5 Hg 0.0000 0.0000 0.3394  6 Zr 3.16-3.17, 6 Hg 3.39
6 Hg 0.6667 0.3333 0.8291  3 Zr 3.12, 3 Tm 3.24, 6 Hg 3.39
7 C 0.3333 0.6667 0.0961  3 Zr 2.29, 3 Tm 2.44
8 C 0.3333 0.6667 0.5861  6 Zr 2.32

Calculated values
Density ... 9.6 g/cm3
Magnetization ... 0.0 Bohr magnetons per cell
Raw total energy ... -6.6812 eV per atom

=====

Below is crystalline Tm2Se2BrCl at its relaxed geometry, with properties calculated at the PBE-GGA level.

abc: 4.0169 5.5919 8.6358
angles: 90.00 90.00 90.00
With the nearest neighbours (Å) after each atom.
Element x y z (fractional)
1 Tm 0.0000 0.0000 0.0000  2 Br 2.78, 4 Se 2.81-2.83
2 Tm 0.5000 0.5000 0.2666  2 Cl 2.64, 4 Se 2.81-2.85
3 Se 0.0000 0.5000 0.0332  4 Tm 2.81-2.85
4 Se 0.5000 0.0000 0.2317  4 Tm 2.81-2.83
5 Br 0.5000 0.0000 0.7768  2 Tm 2.78
6 Cl 0.0000 0.5000 0.4645  2 Tm 2.64

Calculated values
Density ... 5.2 g/cm3
Magnetization ... 0.0 Bohr magnetons per cell
Raw total energy ... -5.2063 eV per atom

=====

Below is crystalline ZrZn at its relaxed geometry, with properties calculated at the PBE-GGA level.

abc: 6.3189 4.8769 7.6802
angles: 90.00 102.04 90.00
With the nearest neighbours (Å) after each atom.
Element x y z (fractional)
1 Zr 0.0315 0.2500 0.1110  5 Zn 2.87-3.05, 7 Zr 2.95-3.17
2 Zr 0.3048 0.7500 0.2524  5 Zn 2.80-3.11, 4 Zr 3.05-3.09
3 Zr 0.4656 0.7500 0.8710  5 Zn 2.93-3.11, 6 Zr 3.09-3.17
4 Zr 0.5344 0.2500 0.1290  5 Zn 2.93-3.11, 6 Zr 3.09-3.17
5 Zr 0.6952 0.2500 0.7476  5 Zn 2.80-3.11, 4 Zr 3.05-3.09
6 Zr 0.9685 0.7500 0.8890  5 Zn 2.87-3.05, 7 Zr 2.95-3.17
7 Zn 0.1107 0.7500 0.5576  8 Zn 2.81-3.00, 3 Zr 2.86-2.93
8 Zn 0.1927 0.2500 0.7725  4 Zn 2.73-2.93, 5 Zr 2.98-3.05
9 Zn 0.3386 0.2500 0.4619  4 Zn 2.73-3.00, 4 Zr 2.80-2.97
10 Zn 0.6614 0.7500 0.5381  4 Zn 2.73-3.00, 4 Zr 2.80-2.97
11 Zn 0.8073 0.7500 0.2275  4 Zn 2.73-2.93, 5 Zr 2.98-3.05
12 Zn 0.8893 0.2500 0.4424  8 Zn 2.81-3.00, 3 Zr 2.86-2.93

Calculated values
Density ... 6.7 g/cm3
Calculated formation energy ... -0.0404 eV/atom
Magnetization ... 0.0 Bohr magnetons per cell
Raw total energy ... -4.9463 eV per atom

=====

Below is crystalline CoBMoIr at its relaxed geometry, with properties calculated at the PBE-GGA level.

abc: 4.1304 4.1304 4.1304
angles: 60.00 60.00 60.00
With the nearest neighbours (Å) after each atom.
Element x y z (fractional)
1 Co 0.0000 0.0000 0.0000  4 B 2.53, 4 Ir 2.53
2 B 0.7500 0.7500 0.7500  4 Mo 2.53, 4 Co 2.53
3 Mo 0.5000 0.5000 0.5000  4 B 2.53, 4 Ir 2.53
4 Ir 0.2500 0.2500 0.2500  4 Mo 2.53, 4 Co 2.53

Calculated values
Density ... 11.9 g/cm3
Magnetization ... 1.2 Bohr magnetons per cell
Distance to the lowest polymorph of the same formula ... 0.000 eV/atom
Raw total energy ... -7.9046 eV per atom

=====

Below is crystalline Tb4PaN5 at its relaxed geometry, with properties calculated at the PBE-GGA level.

abc: 6.0278 6.0278 6.0278
angles: 99.61 99.61 131.78
With the nearest neighbours (Å) after each atom.
Element x y z (fractional)
1 Tb 0.0994 0.3023 0.4017  6 N 2.44-2.57
2 Tb 0.3023 0.9006 0.2028  6 N 2.44-2.57
3 Tb 0.6977 0.0994 0.7972  6 N 2.44-2.57
4 Tb 0.9006 0.6977 0.5983  6 N 2.44-2.57
5 Pa 0.5000 0.5000 0.0000  6 N 2.34-2.46
6 N 0.0000 0.0000 0.0000  2 Pa 2.46, 4 Tb 2.48
7 N 0.2140 0.5936 0.8076  1 Pa 2.34, 5 Tb 2.44-2.57
8 N 0.4064 0.2140 0.6203  1 Pa 2.34, 5 Tb 2.44-2.57
9 N 0.5936 0.7860 0.3797  1 Pa 2.34, 5 Tb 2.44-2.57
10 N 0.7860 0.4064 0.1924  1 Pa 2.34, 5 Tb 2.44-2.57

Calculated values
Density ... 10.4 g/cm3
Magnetization ... 0.0 Bohr magnetons per cell
Raw total energy ... -8.6658 eV per atom